{"formula": "Zn2NiN2", "functional": "PBE", "state": "relaxed", "relative_energy_ev_per_atom": 0.841, "total_energy_ev_per_atom": -3.943, "lattice": [[-1.309, -2.429, -0.228], [1.511, -1.010, 2.088], [-4.700, 0.444, 5.452]], "species": ["Ni", "Zn", "Zn", "N", "N"], "fractional_positions": [[0.000, 0.000, 0.000], [0.381, 0.381, 0.238], [0.619, 0.619, 0.762], [0.750, 0.250, 0.500], [0.250, 0.750, 0.500]]}